Entry 1:
This record from Alexandria via LeMat-Bulk describes CaTbHg4 after structural relaxation. The functional is PBE.

Cell: 3.9017 5.6797 7.9591 Å, 101.21 75.81 69.91°
Fractional coordinates of all 6 atoms:
Hg (0.6705, 0.9968, 0.6623)
Hg (0.8391, 0.4918, 0.8299)
Hg (0.1609, 0.5082, 0.1701)
Hg (0.3295, 0.0032, 0.3377)
Ca (0.0000, 0.0000, 0.0000)
Tb (0.5000, 0.5000, 0.5000)

Results
Magnetic moment, μB per cell: 0.0
DOS(E_F), states/eV per cell: 2.6
Total energy, eV per atom: -1.711
Volume, Å³/cell: 152.89
SG: C2/m, No. 12
Mass density, kg/m³: 10876
Distance to the lowest polymorph of the same formula, eV per atom: 0.016
ΔH_f (0 K), eV/atom: -0.40

=====

Entry 2:
This record from Alexandria via LeMat-Bulk describes DyB3Os3 after structural relaxation. The functional is PBE.

Cell: 3.1570 8.0091 8.0089 Å, 120.00 90.00 90.00°
Fractional coordinates of all 14 atoms:
B (0.2500, 0.0432, 0.5814)
B (0.7500, 0.4618, 0.0432)
B (0.7500, 0.5814, 0.5382)
B (0.7500, 0.9568, 0.4186)
B (0.2500, 0.5382, 0.9568)
B (0.2500, 0.4186, 0.4618)
Os (0.2500, 0.6769, 0.7581)
Os (0.2500, 0.0812, 0.3231)
Os (0.2500, 0.2418, 0.9188)
Os (0.7500, 0.7582, 0.0812)
Os (0.7500, 0.9188, 0.6769)
Os (0.7500, 0.3231, 0.2418)
Dy (0.7500, 0.3333, 0.6667)
Dy (0.2500, 0.6667, 0.3333)

Results
Magnetic moment, μB per cell: 0.0
DOS(E_F), states/eV per cell: 8.2
Total energy, eV per atom: -8.456
Volume, Å³/cell: 175.38
SG: P6_3/m, No. 176
Mass density, kg/m³: 14498
Distance to the lowest polymorph of the same formula, eV per atom: 0.000
ΔH_f (0 K), eV/atom: -0.12

=====

Entry 3:
This record from Alexandria via LeMat-Bulk describes CrCuSi2 after structural relaxation. The functional is PBE.

Cell: 2.5537 2.5537 7.7757 Å, 90.00 90.00 90.00°
Site moments in Bohr magnetons follow the coordinates.
Fractional coordinates of all 4 atoms:
Si (0.0000, 0.0000, 0.9824)  0.00
Si (0.5000, 0.5000, 0.2719)  0.00
Cr (0.0000, 0.0000, 0.4986)  0.13
Cu (0.5000, 0.5000, 0.7471)  -0.01

Results
Magnetic moment, μB per cell: 0.1
DOS(E_F), states/eV per cell: 1.9
Total energy, eV per atom: -5.916
Volume, Å³/cell: 50.71
SG: P4mm, No. 99
Mass density, kg/m³: 5623
Energy relative to the elements, uncorrected, eV per atom: 0.23